The following is a DFT calculation (GGA-PBE) of crystalline SiBAs2Se at its relaxed geometry.

Cell and atoms, written as CIF:
```
data_SiBAs2Se
_chemical_formula_sum 'Si1 B1 As2 Se1'
_space_group_name_H-M_alt 'P 1'
_space_group_IT_number 1
_space_group_name_Hall 'P 1'
_cell_length_a 4.415
_cell_length_b 4.415
_cell_length_c 4.452
_cell_angle_alpha 90.00
_cell_angle_beta 90.00
_cell_angle_gamma 90.00
loop_
_atom_site_label
_atom_site_type_symbol
_atom_site_fract_x
_atom_site_fract_y
_atom_site_fract_z
_atom_site_occupancy
As1 As 0.500 0.000 0.000 1
Si1 Si 0.500 0.500 0.500 1
B1 B 0.000 0.000 0.000 1
Se1 Se 0.000 0.000 0.500 1
As2 As 0.000 0.500 0.000 1
```

Excess energy over the best structure of this formula in the dataset = 0 meV/atom
Energy relative to the elements, uncorrected = 0.8586 eV per atom
Energy = -20.59 eV/cell
SG = P4/mmm, No. 123

The following is a DFT calculation (GGA-PBE) of crystalline SnBAs2Se at its relaxed geometry.

Cell and atoms, written as CIF:
```
data_SnBAs2Se
_chemical_formula_sum 'Sn1 B1 As2 Se1'
_space_group_name_H-M_alt 'P 1'
_space_group_IT_number 1
_space_group_name_Hall 'P 1'
_cell_length_a 5.256
_cell_length_b 5.256
_cell_length_c 5.315
_cell_angle_alpha 90.00
_cell_angle_beta 90.00
_cell_angle_gamma 90.00
loop_
_atom_site_label
_atom_site_type_symbol
_atom_site_fract_x
_atom_site_fract_y
_atom_site_fract_z
_atom_site_occupancy
As1 As 0.500 0.000 0.000 1
Se1 Se 0.000 0.000 0.500 1
Sn1 Sn 0.000 0.000 0.000 1
B1 B 0.500 0.500 0.500 1
As2 As 0.000 0.500 0.000 1
```

Excess energy over the best structure of this formula in the dataset = 1042 meV/atom
Energy relative to the elements, uncorrected = 1.6256 eV per atom
Energy = -15.34 eV/cell
SG = P4/mmm, No. 123

The following is a DFT calculation (GGA-PBE) of crystalline SnBAs2Se at its relaxed geometry.

Cell and atoms, written as CIF:
```
data_SnBAs2Se
_chemical_formula_sum 'Sn1 B1 As2 Se1'
_space_group_name_H-M_alt 'P 1'
_space_group_IT_number 1
_space_group_name_Hall 'P 1'
_cell_length_a 4.526
_cell_length_b 4.526
_cell_length_c 4.636
_cell_angle_alpha 90.00
_cell_angle_beta 90.00
_cell_angle_gamma 90.00
loop_
_atom_site_label
_atom_site_type_symbol
_atom_site_fract_x
_atom_site_fract_y
_atom_site_fract_z
_atom_site_occupancy
Sn1 Sn 0.500 0.500 0.500 1
Se1 Se 0.000 0.000 0.500 1
B1 B 0.000 0.000 0.000 1
As1 As 0.500 0.000 0.000 1
As2 As 0.000 0.500 0.000 1
```

Excess energy over the best structure of this formula in the dataset = 0 meV/atom
Energy relative to the elements, uncorrected = 0.5840 eV per atom
Energy = -20.54 eV/cell
SG = P4/mmm, No. 123